# Na3TeH, relaxed, DFT GGA-PBE
data_Na3TeH
_cell_length_a 6.403
_cell_length_b 8.539
_cell_length_c 5.133
_cell_angle_alpha 90.02
_cell_angle_beta 90.00
_cell_angle_gamma 110.79
_symmetry_space_group_name_H-M 'P 1'
_symmetry_Int_Tables_number 1
_symmetry_space_group_name_Hall 'P 1'
loop_
_atom_site_label
_atom_site_fract_x
_atom_site_fract_y
_atom_site_fract_z
_atom_site_occupancy
H1 0.252 0.288 0.207 1
H2 0.047 0.999 0.706 1
Te1 0.447 0.819 0.206 1
Te2 0.793 0.402 0.707 1
Na1 0.067 0.456 0.207 1
Na2 0.263 0.271 0.707 1
Na3 0.695 0.011 0.706 1
Na4 0.096 0.010 0.206 1
Na5 0.141 0.763 0.706 1
Na6 0.589 0.504 0.208 1
# Total magnetization   0.000 μB/cell
# DOS(E_F)   0.00 states/eV/cell
# Relative energy among the computed polymorphs   59 meV per atom
# V   26.236 Å³/atom
# E   -2.673 eV per atom